[1]
This record from Alexandria via LeMat-Bulk describes a relaxed AlPW crystal. The functional is PBE.

Geometry as POSCAR:
```
AlPW
1.0
-1.267 -0.269 3.896
3.095 -2.353 -1.319
2.101 2.292 0.842
Al P W
1 1 1
direct
0.000 0.000 0.000
0.667 0.333 0.500
0.333 0.667 0.500
```

Computed properties:
Total DFT energy (no corrections) ... -22.0 eV for the cell shown
SG ... P-6m2 (187)
Calculated formation energy ... 0.028 eV/atom

[2]
This record from Alexandria via LeMat-Bulk describes a relaxed La2HoCo crystal. The functional is PBE.

Geometry as POSCAR:
```
La2HoCo
1.0
3.571 0.000 0.000
0.000 3.571 0.000
0.000 0.000 8.886
Co Ho La
1 1 2
direct
0.500 0.500 0.000
0.500 0.500 0.500
0.000 0.000 0.193
0.000 0.000 0.807
```

Computed properties:
Total DFT energy (no corrections) ... -21.3 eV for the cell shown
ΔE to the lowest computed polymorph ... 177.4 meV/atom
SG ... P4/mmm (123)
Calculated formation energy ... 0.071 eV/atom

[3]
This record from Alexandria via LeMat-Bulk describes a relaxed TcHg2C crystal. The functional is PBE.

Geometry as POSCAR:
```
TcHg2C
1.0
8.798 0.000 0.000
0.000 8.798 0.000
4.399 4.399 2.002
Hg Tc C
4 2 2
direct
0.375 0.499 0.750
0.249 0.625 0.250
0.875 0.751 0.750
0.501 0.125 0.250
0.000 0.000 0.000
0.750 0.250 0.500
0.500 0.500 0.000
0.250 0.750 0.500
```

Computed properties:
Total DFT energy (no corrections) ... -30.9 eV for the cell shown
SG ... I-42d (122)
Calculated formation energy ... 1.181 eV/atom

[4]
This record from Alexandria via LeMat-Bulk describes a relaxed Er2Sc2AlGa4 crystal. The functional is PBE.

Geometry as POSCAR:
```
Er2Sc2AlGa4
1.0
-4.818 2.772 3.367
-1.699 -4.081 -4.764
3.723 -4.286 3.163
Er Ga Sc Al
2 4 2 1
direct
0.000 0.691 0.691
0.000 0.309 0.309
0.000 0.746 0.254
0.507 0.254 0.254
0.000 0.254 0.746
0.493 0.746 0.746
0.500 0.750 0.250
0.500 0.250 0.750
0.000 0.000 0.000
```

Computed properties:
Total DFT energy (no corrections) ... -38.8 eV for the cell shown
SG ... I4/mmm (139)
Calculated formation energy ... -0.132 eV/atom

[5]
This record from Alexandria via LeMat-Bulk describes a relaxed CaNpPt2 crystal. The functional is PBE.

Geometry as POSCAR:
```
CaNpPt2
1.0
-1.926 0.605 -2.802
-2.567 -1.866 1.362
-2.687 5.989 3.142
Np Ca Pt
1 1 2
direct
0.500 0.500 0.000
0.500 0.500 0.500
0.000 0.000 0.769
0.000 0.000 0.231
```

Computed properties:
Total DFT energy (no corrections) ... -29.7 eV for the cell shown
ΔE to the lowest computed polymorph ... 13.3 meV/atom
SG ... P4/mmm (123)
Calculated formation energy ... -0.662 eV/atom

[6]
This record from Alexandria via LeMat-Bulk describes a relaxed CuNi2N crystal. The functional is PBE.

Geometry as POSCAR:
```
CuNi2N
1.0
-3.086 -0.443 -5.179
-4.613 -2.542 2.966
-4.787 0.648 -0.730
Ni N Cu
4 2 2
direct
0.512 0.125 0.250
0.875 0.762 0.750
0.238 0.625 0.250
0.375 0.488 0.750
0.250 0.750 0.500
0.500 0.500 0.000
0.750 0.250 0.500
0.000 0.000 0.000
```

Computed properties:
Total DFT energy (no corrections) ... -45.5 eV for the cell shown
SG ... I-42d (122)

[7]
This record from Alexandria via LeMat-Bulk describes a relaxed Nd2Dy3Y crystal. The functional is PBE.

Geometry as POSCAR:
```
Nd2Dy3Y
1.0
3.453 0.000 -0.656
-0.331 10.144 -1.740
0.434 -1.728 11.699
Nd Dy Y
4 6 2
direct
0.932 0.864 0.864
0.309 0.630 0.618
0.691 0.370 0.382
0.068 0.136 0.136
0.070 0.765 0.139
0.695 0.715 0.389
0.930 0.235 0.861
0.559 0.445 0.118
0.441 0.555 0.882
0.305 0.285 0.611
0.312 0.964 0.623
0.688 0.036 0.377
```

Computed properties:
Total DFT energy (no corrections) ... -58.2 eV for the cell shown
ΔE to the lowest computed polymorph ... 27.2 meV/atom
SG ... C2/m (12)
Calculated formation energy ... 0.120 eV/atom

[8]
This record from Alexandria via LeMat-Bulk describes a relaxed CaBe2Ni crystal. The functional is PBE.

Geometry as POSCAR:
```
CaBe2Ni
1.0
-1.997 -2.360 4.490
-3.281 -4.124 1.394
0.243 -4.775 2.620
Ca Be Ni
1 2 1
direct
0.750 0.750 0.750
0.935 0.935 0.935
0.565 0.565 0.565
0.250 0.250 0.250
```

Computed properties:
Total DFT energy (no corrections) ... -15.9 eV for the cell shown
ΔE to the lowest computed polymorph ... 0.0 meV/atom
SG ... R-3m (166)
Calculated formation energy ... -0.157 eV/atom

[9]
This record from Alexandria via LeMat-Bulk describes a relaxed ZrNbP2F crystal. The functional is PBE.

Geometry as POSCAR:
```
ZrNbP2F
1.0
-0.421 2.771 -3.995
4.166 -2.347 -2.068
-2.900 -3.362 -2.026
P Nb Zr F
2 1 1 1
direct
0.500 0.000 0.000
0.000 0.000 0.500
0.000 0.500 0.000
0.000 0.000 0.000
0.500 0.500 0.500
```

Computed properties:
Total DFT energy (no corrections) ... -27.7 eV for the cell shown
SG ... P4/mmm (123)

[10]
This record from Alexandria via LeMat-Bulk describes a relaxed MgZn7Co5 crystal. The functional is PBE.

Geometry as POSCAR:
```
MgZn7Co5
1.0
4.591 0.000 1.886
2.286 5.996 0.965
0.018 0.044 6.489
Zn Co Mg
7 5 1
direct
0.497 0.206 0.799
0.497 0.799 0.206
0.343 0.657 0.657
0.991 0.345 0.673
0.686 0.314 0.314
0.266 0.234 0.234
0.991 0.673 0.345
0.998 0.514 0.001
0.487 0.514 0.001
0.734 0.766 0.766
0.487 0.001 0.514
0.998 0.001 0.514
0.025 0.975 0.975
```

Computed properties:
Total DFT energy (no corrections) ... -46.6 eV for the cell shown
SG ... Imm2 (44)
Calculated formation energy ... -0.046 eV/atom

[11]
This record from Alexandria via LeMat-Bulk describes a relaxed Pa2CrSb crystal. The functional is PBE.

Geometry as POSCAR:
```
Pa2CrSb
1.0
-0.162 -3.825 2.654
3.573 -1.505 -1.951
2.459 1.968 2.987
Sb Pa Cr
1 2 1
direct
0.500 0.000 0.000
0.000 0.000 0.500
0.000 0.500 0.000
0.500 0.500 0.500
```

Computed properties:
Total DFT energy (no corrections) ... -32.9 eV for the cell shown
ΔE to the lowest computed polymorph ... 0.0 meV/atom
SG ... P4/mmm (123)

[12]
This record from Alexandria via LeMat-Bulk describes a relaxed Ac2Co2P2N crystal. The functional is PBE.

Geometry as POSCAR:
```
Ac2Co2P2N
1.0
3.857 0.000 0.000
1.929 5.647 -0.210
1.929 1.905 5.754
N Ac Co P
1 2 2 2
direct
0.000 0.000 0.000
0.553 0.190 0.705
0.447 0.810 0.295
0.197 0.686 0.921
0.803 0.314 0.079
0.806 0.635 0.753
0.194 0.365 0.247
```

Computed properties:
Total DFT energy (no corrections) ... -47.9 eV for the cell shown
SG ... C2/m (12)

> Which of these has the lowest total DFT energy (no corrections)?

Nd2Dy3Y

> Which of these has the lowest total DFT energy (no corrections)?

Nd2Dy3Y

> Among the records above, which one has the highest total DFT energy (no corrections)?

CaBe2Ni

> The lowest total DFT energy (no corrections) belongs to which entry?

Nd2Dy3Y